(1)
Compound: HoZr4Sc8
Source: Alexandria
Functional: PBE-GGA
Structure: relaxed

Lattice parameters (Å, degrees): 6.280 6.280 10.430 107.46 107.46 59.95
Sites, in units of the cell vectors:
Ho1 0.000 0.000 0.000
Zr1 0.000 0.000 0.500
Zr2 0.000 0.500 0.500
Zr3 0.500 0.000 0.500
Zr4 0.500 0.500 0.500
Sc1 0.251 0.251 0.239
Sc2 0.251 0.738 0.240
Sc3 0.262 0.749 0.760
Sc4 0.304 0.304 0.914
Sc5 0.696 0.696 0.086
Sc6 0.738 0.251 0.240
Sc7 0.749 0.262 0.760
Sc8 0.749 0.749 0.761

## Properties
Electronic total energy, eV/atom: -6.595
Calculated formation energy, eV/atom: 0.28
N(E_F), states/eV/cell: 19.88

(2)
Compound: HoZr6Sc12
Source: Alexandria
Functional: PBE-GGA
Structure: relaxed

Lattice parameters (Å, degrees): 8.036 8.036 8.036 98.89 98.89 98.89
Sites, in units of the cell vectors:
Ho1 0.000 0.000 0.000
Zr1 0.200 0.200 0.748
Zr2 0.200 0.748 0.200
Zr3 0.252 0.800 0.800
Zr4 0.748 0.200 0.200
Zr5 0.800 0.252 0.800
Zr6 0.800 0.800 0.252
Sc1 0.120 0.500 0.880
Sc2 0.120 0.880 0.500
Sc3 0.190 0.472 0.472
Sc4 0.472 0.190 0.472
Sc5 0.472 0.472 0.190
Sc6 0.500 0.120 0.880
Sc7 0.500 0.880 0.120
Sc8 0.528 0.528 0.810
Sc9 0.528 0.810 0.528
Sc10 0.810 0.528 0.528
Sc11 0.880 0.120 0.500
Sc12 0.880 0.500 0.120

## Properties
Electronic total energy, eV/atom: -6.472
Calculated formation energy, eV/atom: 0.47
Polymorph energy (0 for the lowest one), meV per atom: 395
N(E_F), states/eV/cell: 31.85

(3)
Compound: Ho6ZrSc8
Source: Alexandria
Functional: PBE-GGA
Structure: relaxed

Lattice parameters (Å, degrees): 8.153 8.153 8.153 63.10 63.10 63.10
Sites, in units of the cell vectors:
Ho1 0.044 0.716 0.610
Ho2 0.284 0.390 0.956
Ho3 0.390 0.956 0.284
Ho4 0.610 0.044 0.716
Ho5 0.716 0.610 0.044
Ho6 0.956 0.284 0.390
Zr1 0.500 0.500 0.500
Sc1 0.074 0.074 0.074
Sc2 0.220 0.251 0.609
Sc3 0.251 0.609 0.220
Sc4 0.391 0.780 0.749
Sc5 0.609 0.220 0.251
Sc6 0.749 0.391 0.780
Sc7 0.780 0.749 0.391
Sc8 0.926 0.926 0.926

## Properties
Electronic total energy, eV/atom: -5.655
Calculated formation energy, eV/atom: 0.12
N(E_F), states/eV/cell: 24.55

(4)
Compound: HoZr2Sc6
Source: Alexandria
Functional: PBE-GGA
Structure: relaxed

Lattice parameters (Å, degrees): 3.306 3.306 23.834 90.00 90.00 120.00
Sites, in units of the cell vectors:
Ho1 0.000 0.000 0.000
Zr1 0.333 0.667 0.332
Zr2 0.333 0.667 0.668
Sc1 0.000 0.000 0.225
Sc2 0.000 0.000 0.436
Sc3 0.000 0.000 0.564
Sc4 0.000 0.000 0.775
Sc5 0.333 0.667 0.116
Sc6 0.333 0.667 0.884

## Properties
Electronic total energy, eV/atom: -6.583
Calculated formation energy, eV/atom: 0.05
Polymorph energy (0 for the lowest one), meV per atom: 0
N(E_F), states/eV/cell: 16.68

(5)
Compound: HoZr2Sc
Source: Alexandria
Functional: PBE-GGA
Structure: relaxed

Lattice parameters (Å, degrees): 4.611 4.611 4.672 90.00 90.00 90.00
Sites, in units of the cell vectors:
Ho1 0.000 0.000 0.000
Zr1 0.000 0.500 0.500
Zr2 0.500 0.000 0.500
Sc1 0.500 0.500 0.000

## Properties
Electronic total energy, eV/atom: -6.931
Calculated formation energy, eV/atom: 0.07
Polymorph energy (0 for the lowest one), meV per atom: 15
N(E_F), states/eV/cell: 4.77

(6)
Compound: HoZr2Sc12
Source: Alexandria
Functional: PBE-GGA
Structure: relaxed

Lattice parameters (Å, degrees): 5.818 5.818 22.994 90.00 90.00 90.00
Sites, in units of the cell vectors:
Ho1 0.250 0.750 0.000
Ho2 0.750 0.250 0.000
Zr1 0.250 0.750 0.279
Zr2 0.250 0.750 0.721
Zr3 0.750 0.250 0.279
Zr4 0.750 0.250 0.721
Sc1 0.068 0.568 0.123
Sc2 0.068 0.932 0.877
Sc3 0.081 0.581 0.439
Sc4 0.081 0.919 0.561
Sc5 0.250 0.250 0.221
Sc6 0.250 0.250 0.341
Sc7 0.250 0.250 0.659
Sc8 0.250 0.250 0.779
Sc9 0.419 0.581 0.561
Sc10 0.419 0.919 0.439
Sc11 0.432 0.568 0.877
Sc12 0.432 0.932 0.123
Sc13 0.568 0.068 0.877
Sc14 0.568 0.432 0.123
Sc15 0.581 0.081 0.561
Sc16 0.581 0.419 0.439
Sc17 0.750 0.750 0.221
Sc18 0.750 0.750 0.341
Sc19 0.750 0.750 0.659
Sc20 0.750 0.750 0.779
Sc21 0.919 0.081 0.439
Sc22 0.919 0.419 0.561
Sc23 0.932 0.068 0.123
Sc24 0.932 0.432 0.877

## Properties
Electronic total energy, eV/atom: -6.165
Calculated formation energy, eV/atom: 0.35
N(E_F), states/eV/cell: 50.53